## A
The following is a meta-GGA SCAN calculation of MnP2Os at its PBEsol-relaxed geometry, from Alexandria.

```
MnP2Os
1.0
-0.933 1.474 2.167
1.488 -2.290 2.198
4.166 2.678 -0.029
Mn Os P
1 1 2
Cartesian
1.790 1.151 -0.012
3.607 1.733 2.160
4.046 2.601 -0.028
1.526 0.395 2.174
```

Output
space-group type	Pmm2, No. 25
density	10.6	g/cm³
total magnetic moment	2.1	μB per formula unit

## B
The following is a meta-GGA SCAN calculation of MnP2Os at its PBEsol-relaxed geometry, from Alexandria.

```
MnP2Os
1.0
-1.310 -1.757 2.063
3.054 -2.217 0.051
1.906 2.707 3.515
Mn Os P
1 1 2
Cartesian
0.872 -1.987 1.057
2.480 0.245 1.783
1.482 2.105 2.735
-0.886 -1.155 2.843
```

Output
space-group type	Pmmm, No. 47
density	9.3	g/cm³
total magnetic moment	3.9	μB per formula unit

According to the calculations, the structures order from most to least stable as A, B.

## A
The following is a meta-GGA SCAN calculation of MnReOs2 at its PBEsol-relaxed geometry, from Alexandria.

```
MnReOs2
1.0
2.682 0.000 0.000
1.341 2.322 0.000
1.341 0.774 8.662
Mn Os Re
1 2 1
Cartesian
1.341 0.774 2.130
4.023 2.322 0.109
4.023 2.322 6.486
2.682 1.548 4.268
```

Output
space-group type	R3m, No. 160
density	19.1	g/cm³
total magnetic moment	2.4	μB per formula unit

## B
The following is a meta-GGA SCAN calculation of MnReOs2 at its PBEsol-relaxed geometry, from Alexandria.

```
MnReOs2
1.0
-1.752 0.069 2.044
3.477 -0.452 2.997
-0.741 4.484 -0.788
Mn Os Re
1 2 1
Cartesian
0.492 2.051 2.126
1.738 -0.226 1.498
-0.371 2.242 -0.394
-0.876 0.035 1.022
```

Output
space-group type	Cmmm, No. 65
density	19.1	g/cm³
total magnetic moment	2.3	μB per formula unit

According to the calculations, the structures order from most to least stable as B, A.

## A
The following is a meta-GGA SCAN calculation of MnRe2Os at its PBEsol-relaxed geometry, from Alexandria.

```
MnRe2Os
1.0
-1.026 -1.863 -1.846
3.857 -2.237 0.113
-1.541 -2.487 3.366
Mn Os Re
1 1 2
Cartesian
0.645 -3.293 0.817
-0.513 -0.932 -0.923
-0.770 -1.243 1.683
1.928 -1.118 0.057
```

Output
space-group type	P4/mmm, No. 123
density	18.3	g/cm³
total magnetic moment	3.1	μB per formula unit

## B
The following is a meta-GGA SCAN calculation of MnRe2Os at its PBEsol-relaxed geometry, from Alexandria.

```
MnRe2Os
1.0
-1.243 -0.919 2.210
-0.509 -3.218 -3.270
4.098 -1.310 1.760
Mn Os Re
1 1 2
Cartesian
0.923 -4.332 -1.282
-0.150 -2.649 0.460
0.026 -0.023 0.005
2.464 -2.775 0.232
```

Output
space-group type	Cm, No. 8
density	18.8	g/cm³
total magnetic moment	2.1	μB per formula unit

According to the calculations, the structures order from most to least stable as B, A.

## A
The following is a meta-GGA SCAN calculation of MnSb2Os at its PBEsol-relaxed geometry, from Alexandria.

```
MnSb2Os
1.0
-1.955 -2.267 -0.883
2.389 -2.003 -0.149
-1.158 -1.945 7.556
Mn Os Sb
1 1 2
Cartesian
-0.616 -1.035 4.019
-0.614 -3.531 4.908
-1.076 -1.807 7.018
-0.155 -2.760 1.912
```

Output
space-group type	P4mm, No. 99
density	10.6	g/cm³
total magnetic moment	3.6	μB per formula unit

## B
The following is a meta-GGA SCAN calculation of MnSb2Os at its PBEsol-relaxed geometry, from Alexandria.

```
MnSb2Os
1.0
-2.464 0.999 1.554
-2.796 -0.151 -1.284
-3.010 -8.717 3.883
Mn Os Sb
1 1 2
Cartesian
-4.096 -3.650 1.957
-2.103 -2.221 1.145
-5.344 0.246 0.524
-6.123 -5.330 2.874
```

Output
space-group type	R3m, No. 160
density	10.0	g/cm³
total magnetic moment	3.5	μB per formula unit

According to the calculations, the structures order from most to least stable as A, B.

## A
The following is a meta-GGA SCAN calculation of Sc2MnOs at its PBEsol-relaxed geometry, from Alexandria.

```
Sc2MnOs
1.0
-2.197 1.049 -3.684
-0.521 -3.007 -3.191
-3.986 -1.739 -0.765
Mn Os Sc
1 1 2
Cartesian
-3.352 -1.849 -3.820
-5.028 -2.773 -5.730
0.000 0.000 0.000
-1.676 -0.924 -1.910
```

Output
space-group type	F-43m, No. 216
density	9.1	g/cm³
total magnetic moment	0.0	μB per formula unit

## B
The following is a meta-GGA SCAN calculation of Sc2MnOs at its PBEsol-relaxed geometry, from Alexandria.

```
Sc2MnOs
1.0
4.531 0.000 0.000
2.266 3.924 0.000
2.266 1.308 3.700
Mn Os Sc
1 1 2
Cartesian
0.000 0.000 0.000
4.531 2.616 1.850
6.797 3.924 2.775
2.266 1.308 0.925
```

Output
space-group type	Fm-3m, No. 225
density	8.5	g/cm³
total magnetic moment	3.5	μB per formula unit

According to the calculations, the structures order from most to least stable as B, A.

## A
The following is a meta-GGA SCAN calculation of Ta2MnOs at its PBEsol-relaxed geometry, from Alexandria.

```
Ta2MnOs
1.0
-0.084 3.351 2.827
-2.726 -0.097 3.433
1.596 -0.510 4.052
Mn Os Ta
1 1 2
Cartesian
0.000 0.000 0.000
-0.607 1.372 5.157
-0.304 0.686 2.578
-0.911 2.058 7.735
```

Output
space-group type	Fm-3m, No. 225
density	16.9	g/cm³
total magnetic moment	0.0	μB per formula unit

## B
The following is a meta-GGA SCAN calculation of Ta2MnOs at its PBEsol-relaxed geometry, from Alexandria.

```
Ta2MnOs
1.0
-0.268 -2.536 -1.817
-1.452 -1.512 2.326
-5.466 2.061 -2.071
Mn Os Ta
1 1 2
Cartesian
-2.712 1.023 -1.028
-4.936 -0.487 -1.290
-5.394 2.034 -2.044
-2.342 -1.465 -0.307
```

Output
space-group type	P4mm, No. 99
density	16.6	g/cm³
total magnetic moment	2.4	μB per formula unit

According to the calculations, the structures order from most to least stable as A, B.